The following is a DFT calculation (PBE-GGA) of an optimized crystal structure of P2HIrAu.

Unit cell a=3.5539 b=3.5539 c=7.6109 alpha=104.21 beta=104.21 gamma=59.53
Element x y z (fractional)
P1 0.1077 0.1077 0.3303
P2 0.8923 0.8923 0.6697
H1 0.5000 0.5000 0.0000
Ir1 0.5000 0.5000 0.5000
Au1 0.0000 0.0000 0.0000

Results
density of states at the Fermi level = 1.95 states/eV per cell
total DFT energy (no corrections) = -26.84 eV/cell
SG = C2/m
distance to the lowest polymorph of the same formula = 4 meV/atom